VASP calculation (PBEsol) on Er3S2OF3 after structural relaxation.

* electronic total energy: -258.85 eV/cell
* spin magnetization: 0.00 μB/cell
* formation energy without anion corrections: -3.348 eV/atom

Unit cell a=5.3234 b=18.5900 c=5.3174 alpha=90.00 beta=90.93 gamma=90.00
Last column: nearest neighbours and their distance in Å.
Space group Cc (No. 9)
Asymmetric unit:
Er1 0.0000 0.0957 0.0000 (multiplicity 4)  1 O 2.18, 1 F 2.23
Er2 0.0021 0.2494 0.4865 (multiplicity 4)  6 F 2.23-2.30, 2 O 2.30-2.31
Er3 0.0483 0.4041 0.9429 (multiplicity 4)  2 F 2.25, 1 O 2.43
S1 0.0131 0.4456 0.4530 (multiplicity 4)  5 Er 2.71-2.85
S2 0.0308 0.0556 0.4937 (multiplicity 4)  5 Er 2.68-2.87
O1 0.2938 0.3205 0.6945 (multiplicity 4)  4 Er 2.18-2.43
F1 0.1807 0.1885 0.8095 (multiplicity 4)  3 Er 2.23-2.26
F2 0.1819 0.3104 0.1773 (multiplicity 4)  3 Er 2.23-2.29, 1 F 2.48
F3 0.3067 0.1864 0.2980 (multiplicity 4)  3 Er 2.25-2.30, 1 F 2.48